(1)
{"formula": "Y2TmO3", "functional": "PBE", "state": "relaxed", "space_group": "P-3m1 (164)", "energy_ev_per_atom": -8.1552, "vol_a3_per_atom": 13.66, "cell": [[-2.6190, 2.1058, 0.3021], [-0.3715, -3.2712, 0.7390], [2.1455, 1.5373, 7.8831]], "species": ["O", "O", "O", "Y", "Y", "Tm"], "fractional_positions": [[0.6667, 0.3333, 0.3501], [0.0000, 0.0000, 0.0000], [0.3333, 0.6667, 0.6499], [0.3333, 0.6667, 0.1680], [0.6667, 0.3333, 0.8319], [0.0000, 0.0000, 0.5000]]}


(2)
{"formula": "AcYLu", "functional": "PBE", "state": "relaxed", "space_group": "F-43m (216)", "energy_ev_per_atom": -4.3561, "vol_a3_per_atom": 41.73, "ef_kj_per_mol_atoms": 65, "cell": [[0.0000, 3.9706, 3.9706], [3.9706, 0.0000, 3.9706], [3.9706, 3.9706, 0.0000]], "species": ["Y", "Lu", "Ac"], "fractional_positions": [[0.7500, 0.7500, 0.7500], [0.0000, 0.0000, 0.0000], [0.2500, 0.2500, 0.2500]]}


(3)
{"formula": "DyB6Pd12", "functional": "PBE", "state": "relaxed", "space_group": "R-3m (166)", "energy_ev_per_atom": -5.8645, "vol_a3_per_atom": 13.49, "cell": [[0.2672, -0.4480, -6.6073], [-2.8604, -5.6507, 1.9534], [-4.5413, 4.6798, 1.1850]], "species": ["Dy", "Pd", "Pd", "Pd", "Pd", "Pd", "Pd", "Pd", "Pd", "Pd", "Pd", "Pd", "Pd", "B", "B", "B", "B", "B", "B"], "fractional_positions": [[0.0000, 0.0000, 0.0000], [0.5524, 0.5524, 0.8163], [0.1296, 0.5000, 0.8704], [0.1837, 0.4476, 0.4476], [0.4476, 0.4476, 0.1837], [0.8704, 0.5000, 0.1296], [0.5000, 0.8704, 0.1296], [0.4476, 0.1837, 0.4476], [0.5000, 0.1296, 0.8704], [0.1296, 0.8704, 0.5000], [0.8163, 0.5524, 0.5524], [0.5524, 0.8163, 0.5524], [0.8704, 0.1296, 0.5000], [0.2369, 0.6612, 0.2369], [0.6612, 0.2369, 0.2369], [0.2369, 0.2369, 0.6612], [0.7631, 0.3388, 0.7631], [0.3388, 0.7631, 0.7631], [0.7631, 0.7631, 0.3388]]}


(4)
{"formula": "DyYFe2Si2", "functional": "PBE", "state": "relaxed", "space_group": "P4mm (99)", "energy_ev_per_atom": -7.0632, "vol_a3_per_atom": 17.55, "cell": [[4.0307, 0.0000, 0.0000], [0.0000, 4.0307, 0.0000], [0.0000, 0.0000, 6.4815]], "species": ["Dy", "Si", "Si", "Fe", "Fe", "Y"], "fractional_positions": [[0.0000, 0.0000, 0.3157], [0.5000, 0.5000, 0.1794], [0.0000, 0.0000, 0.8207], [0.5000, 0.0000, 0.0011], [0.0000, 0.5000, 0.0011], [0.5000, 0.5000, 0.6821]]}


(5)
{"formula": "Hf4Ta2Sn3N3", "functional": "PBE", "state": "relaxed", "space_group": "C2/c (15)", "energy_ev_per_atom": -9.1936, "vol_a3_per_atom": 16.33, "cell": [[-1.2245, 1.4295, 5.3293], [-0.6810, -5.3429, -1.7131], [14.3473, -2.0960, 0.8646]], "species": ["Sn", "Sn", "Sn", "Sn", "Sn", "Sn", "Hf", "Hf", "Hf", "Hf", "Hf", "Hf", "Hf", "Hf", "N", "N", "N", "N", "N", "N", "Ta", "Ta", "Ta", "Ta"], "fractional_positions": [[0.0132, 0.5839, 0.7510], [0.6671, 0.7377, 0.2510], [0.3448, 0.0948, 0.2500], [0.6552, 0.9052, 0.7500], [0.9868, 0.4161, 0.2490], [0.3329, 0.2623, 0.7490], [0.8854, 0.0238, 0.0858], [0.5620, 0.2004, 0.5859], [0.4380, 0.7996, 0.4141], [0.1098, 0.1430, 0.4141], [0.7710, 0.3043, 0.9141], [0.1146, 0.9762, 0.9142], [0.2290, 0.6957, 0.0859], [0.8902, 0.8570, 0.5859], [0.5000, 0.0000, 0.0000], [0.1732, 0.8464, 0.5001], [0.1535, 0.3268, 0.0000], [0.8465, 0.6732, 0.0000], [0.5000, 0.5000, 0.5000], [0.8268, 0.1536, 0.4999], [0.5546, 0.3687, 0.0814], [0.7872, 0.4732, 0.4185], [0.2128, 0.5268, 0.5815], [0.4454, 0.6313, 0.9186]]}


(6)
{"formula": "LiPIrO", "functional": "PBE", "state": "relaxed", "space_group": "P4/nmm (129)", "energy_ev_per_atom": -5.2935, "vol_a3_per_atom": 11.91, "cell": [[1.6640, 2.1760, 1.9694], [-2.2327, 2.4079, -0.7741], [-4.7257, -2.2861, 6.5189]], "species": ["Li", "Li", "P", "P", "O", "O", "Ir", "Ir"], "fractional_positions": [[0.5000, 0.0000, 0.5000], [0.0000, 0.5000, 0.5000], [0.0000, 0.0000, 0.7140], [0.5000, 0.5000, 0.2860], [0.5000, 0.0000, 0.0000], [0.0000, 0.5000, 0.0000], [0.5000, 0.5000, 0.8337], [0.0000, 0.0000, 0.1663]]}


(7)
{"formula": "DyEr2Ag4Sn4", "functional": "PBE", "state": "relaxed", "space_group": "Immm (71)", "energy_ev_per_atom": -4.1949, "vol_a3_per_atom": 23.05, "cell": [[-2.2694, 3.6701, 7.6106], [2.2694, -3.6701, 7.6106], [2.2694, 3.6701, -7.6106]], "species": ["Ag", "Ag", "Ag", "Ag", "Sn", "Sn", "Sn", "Sn", "Dy", "Er", "Er"], "fractional_positions": [[0.6299, 0.3288, 0.3012], [0.3700, 0.6712, 0.6988], [0.9724, 0.6712, 0.3012], [0.0276, 0.3288, 0.6988], [0.7848, 0.7848, 0.0000], [0.6964, 0.5000, 0.1964], [0.2152, 0.2152, 0.0000], [0.3036, 0.5000, 0.8036], [0.0000, 0.0000, 0.0000], [0.6269, 0.1269, 0.5000], [0.3731, 0.8731, 0.5000]]}


(8)
{"formula": "GaCuMoPd", "functional": "PBE", "state": "relaxed", "space_group": "F-43m (216)", "energy_ev_per_atom": -5.6194, "vol_a3_per_atom": 14.83, "cell": [[3.3746, -2.7717, 0.3064], [1.4199, -1.2935, 3.9339], [-0.6648, -4.1204, 1.3209]], "species": ["Pd", "Cu", "Ga", "Mo"], "fractional_positions": [[0.5000, 0.5000, 0.5000], [0.7500, 0.7500, 0.7500], [0.0000, 0.0000, 0.0000], [0.2500, 0.2500, 0.2500]]}


Copy entry 2 word for word.
{"formula": "AcYLu", "functional": "PBE", "state": "relaxed", "space_group": "F-43m (216)", "energy_ev_per_atom": -4.3561, "vol_a3_per_atom": 41.73, "ef_kj_per_mol_atoms": 65, "cell": [[0.0000, 3.9706, 3.9706], [3.9706, 0.0000, 3.9706], [3.9706, 3.9706, 0.0000]], "species": ["Y", "Lu", "Ac"], "fractional_positions": [[0.7500, 0.7500, 0.7500], [0.0000, 0.0000, 0.0000], [0.2500, 0.2500, 0.2500]]}